First-principles (PBE with a Hubbard U) data for Li2VO2F after structural relaxation, as listed in Alexandria via LeMat-Bulk.

a = 2.949 Å, b = 5.976 Å, c = 6.688 Å
α = 103.28°, β = 102.72°, γ = 90.01°
Each line ends with the local moment (μB).
Positions (direct):
O (0.663, 0.316, 0.325)  -0.01
V (0.169, 0.095, 0.338)  1.91
O (0.332, 0.147, 0.664)  -0.01
Li (0.832, 0.427, 0.666)  0.00
F (0.000, 0.000, 0.000)  0.01
Li (0.501, 0.724, 0.000)  0.00
O (0.668, 0.853, 0.336)  -0.01
O (0.337, 0.684, 0.675)  -0.01
V (0.831, 0.905, 0.662)  1.91
Li (0.168, 0.573, 0.334)  0.00
Li (0.499, 0.276, 0.000)  0.00
F (0.000, 0.500, 0.000)  0.00

Energy relative to the lowest polymorph listed for this composition in meV/atom: 50
Symmetry: No. 12
Final energy in eV/atom: -6.181